First-principles (PBE) data for a relaxed structure of SrReNi2, as listed in Alexandria via LeMat-Bulk.

Output
For the total energy, the calculation gives -25.13 eV/cell. As for the symmetry: R-3m, No. 166. The magnetization comes out at 0.00 μB per formula unit. As for the volume: 20.18 A^3/atom.

The structure in POSCAR format:
```
SrReNi2
1.0
2.078 1.200 5.394
-2.078 1.200 5.394
0.000 -2.400 5.394
Sr Re Ni
1 1 2
Cartesian
0.000 0.000 0.000
0.000 0.000 8.092
0.000 0.000 3.065
0.000 0.000 13.118
```



First-principles (PBE) data for a relaxed structure of CeYTe2S, as listed in Alexandria via LeMat-Bulk.

Output
For the total energy, the calculation gives -60.85 eV/cell. For the uncorrected formation energy, the calculation gives -1523 meV per atom. As for the symmetry: P4/nmm, No. 129. The magnetization comes out at 0.68 μB per formula unit. As for the volume: 30.16 A^3/atom.

The structure in POSCAR format:
```
CeYTe2S
1.0
4.423 0.000 0.000
0.000 4.423 0.000
0.000 0.000 15.421
Ce Y Te S
2 2 4 2
Cartesian
1.106 1.106 1.647
3.317 3.317 13.774
1.106 1.106 9.325
3.317 3.317 6.096
1.106 1.106 6.163
1.106 1.106 12.312
3.317 3.317 3.109
3.317 3.317 9.257
1.106 3.317 0.000
3.317 1.106 0.000
```



First-principles (PBE) data for a relaxed structure of SmHg2I8, as listed in Alexandria via LeMat-Bulk.

Output
For the total energy, the calculation gives -24.32 eV/cell. For the uncorrected formation energy, the calculation gives -599 meV per atom. As for the symmetry: C2/m, No. 12. The magnetization comes out at 0.96 μB per formula unit. As for the volume: 52.11 A^3/atom.

The structure in POSCAR format:
```
SmHg2I8
1.0
6.238 -6.342 0.000
6.238 6.342 0.000
-1.408 0.000 7.244
Sm Hg I
1 2 8
Cartesian
0.000 0.000 0.000
1.722 0.000 4.880
9.345 0.000 2.364
4.696 4.114 1.534
2.344 0.000 2.063
6.371 4.114 5.711
4.452 0.000 5.679
6.616 0.000 1.566
4.696 -4.114 1.534
8.723 0.000 5.181
6.371 -4.114 5.711
```



Number 1: density of states at the Fermi level 1.85 states/eV per cell. Number 2: density of states at the Fermi level 15.18 states/eV per cell. Number 3: density of states at the Fermi level 1.67 states/eV per cell.